# PSe2I

A relaxed PSe2I crystal (GGA-PBE, Alexandria via LeMat-Bulk).

Summary:
For the uncorrected formation energy, the calculation gives 0.287 eV/atom. Its energy above the lowest structure with this stoichiometry is 220 meV/atom. The volume is 450.6 Å³ per cell. As for the symmetry: No. 122. As for the raw total energy: -51.12 eV/cell.

Lattice parameters (Å, degrees): 7.335 7.335 8.375 90.00 90.00 90.00
Fractional coordinates of all 16 atoms:
P: 0.000 0.000 0.000
P: 0.000 0.500 0.250
P: 0.500 0.000 0.750
P: 0.500 0.500 0.500
Se: 0.164 0.750 0.125
Se: 0.250 0.164 0.875
Se: 0.250 0.336 0.375
Se: 0.336 0.750 0.625
Se: 0.664 0.250 0.625
Se: 0.750 0.664 0.375
Se: 0.750 0.836 0.875
Se: 0.836 0.250 0.125
I: 0.000 0.000 0.500
I: 0.000 0.500 0.750
I: 0.500 0.000 0.250
I: 0.500 0.500 0.000


# KBa2Au6

A relaxed KBa2Au6 crystal (GGA-PBE, Alexandria via LeMat-Bulk).

Summary:
The volume is 260.8 Å³ per cell. As for the symmetry: No. 191. As for the raw total energy: -29.81 eV/cell. The calculation puts the energy of formation at -55.8 kJ per mole of atoms.

Lattice parameters (Å, degrees): 8.404 8.404 4.263 90.00 90.00 120.00
Fractional coordinates of all 9 atoms:
K: 0.000 0.000 0.000
Ba: 0.333 0.667 0.000
Ba: 0.667 0.333 0.000
Au: 0.000 0.333 0.500
Au: 0.000 0.667 0.500
Au: 0.333 0.000 0.500
Au: 0.333 0.333 0.500
Au: 0.667 0.000 0.500
Au: 0.667 0.667 0.500


> Among the records above, which one has the lowest raw total energy?

PSe2I


> Which value of raw total energy does entry 1 give?

-51.12 eV/cell


> What is the raw total energy in the second record?

-29.81 eV/cell


> What is the raw total energy in the second record?

-29.81 eV/cell